Here is a relaxed structure of InCoTe2 from Alexandria. Energies are from GGA-PBE.

Cell and atoms, written as POSCAR:
```
InCoTe2
1.0
3.502 0.000 0.000
0.000 5.210 0.000
0.000 0.000 5.210
Co Te In
1 2 1
Direct
0.500 0.500 0.000
0.000 0.000 0.000
0.000 0.500 0.500
0.500 0.000 0.500
```

Results
total moment	1.670	Bohr magnetons per cell
ΔE_f (raw)	0.496	eV/atom
mass density	7.494	g cm⁻³

Here is a relaxed structure of In2CoTe from Alexandria. Energies are from GGA-PBE.

Cell and atoms, written as POSCAR:
```
In2CoTe
1.0
3.151 0.000 0.000
0.000 3.151 0.000
0.000 0.000 9.017
Te Co In
1 1 2
Direct
0.500 0.500 0.250
0.500 0.500 0.750
0.000 0.000 0.575
0.000 0.000 0.925
```

Results
total moment	0.930	Bohr magnetons per cell
ΔE_f (raw)	0.191	eV/atom
mass density	7.718	g cm⁻³

Here is a relaxed structure of InCoTe2 from Alexandria. Energies are from GGA-PBE.

Cell and atoms, written as POSCAR:
```
InCoTe2
1.0
-3.045 1.215 0.342
-0.471 -2.830 -1.623
-0.878 -4.460 8.030
Co Te In
1 2 1
Direct
0.500 0.500 0.250
0.000 0.000 0.074
0.000 0.000 0.426
0.500 0.500 0.750
```

Results
total moment	0.520	Bohr magnetons per cell
ΔE_f (raw)	0.186	eV/atom
mass density	7.313	g cm⁻³

Here is a relaxed structure of In4CoTe from Alexandria. Energies are from GGA-PBE.

Cell and atoms, written as POSCAR:
```
In4CoTe
1.0
0.000 4.315 4.315
4.315 0.000 4.315
4.315 4.315 0.000
In Te Co
4 1 1
Direct
0.374 0.374 0.374
0.877 0.374 0.374
0.374 0.877 0.374
0.374 0.374 0.877
0.750 0.750 0.750
0.000 0.000 0.000
```

Results
total moment	2.045	Bohr magnetons per cell
ΔE_f (raw)	0.578	eV/atom
mass density	6.676	g cm⁻³

Here is a relaxed structure of InCoTe2 from Alexandria. Energies are from GGA-PBE.

Cell and atoms, written as POSCAR:
```
InCoTe2
1.0
-2.020 -3.268 0.380
5.072 -3.194 -0.506
3.731 -1.818 4.198
Te Co In
2 1 1
Direct
0.000 0.096 0.099
0.000 0.404 0.401
0.500 0.250 0.250
0.500 0.750 0.750
```

Results
total moment	0.000	Bohr magnetons per cell
ΔE_f (raw)	-0.089	eV/atom
mass density	6.736	g cm⁻³

Here is a relaxed structure of InCoTe from Alexandria. Energies are from GGA-PBE.

Cell and atoms, written as POSCAR:
```
InCoTe
1.0
-1.077 -1.450 6.529
-3.201 -3.268 4.996
1.826 -2.564 0.510
Te In Co
1 1 1
Direct
0.383 0.383 0.617
0.636 0.636 0.364
0.981 0.981 0.019
```

Results
total moment	0.001	Bohr magnetons per cell
ΔE_f (raw)	0.166	eV/atom
mass density	7.705	g cm⁻³

Here is a relaxed structure of InCoTe2 from Alexandria. Energies are from GGA-PBE.

Cell and atoms, written as POSCAR:
```
InCoTe2
1.0
4.105 0.000 0.000
0.000 7.010 0.000
0.000 0.000 3.943
Co Te In
1 2 1
Direct
0.500 0.000 0.500
0.500 0.500 0.000
0.000 0.000 0.000
0.000 0.500 0.500
```

Results
total moment	2.251	Bohr magnetons per cell
ΔE_f (raw)	0.477	eV/atom
mass density	6.278	g cm⁻³

Here is a relaxed structure of InCoTe from Alexandria. Energies are from GGA-PBE.

Cell and atoms, written as POSCAR:
```
InCoTe
1.0
-1.057 -2.575 -3.150
-1.860 -4.033 3.925
-5.700 0.417 1.573
Te In Co
2 2 2
Direct
0.397 0.171 0.654
0.397 0.671 0.155
0.895 0.671 0.654
0.895 0.171 0.154
0.395 0.421 0.904
0.395 0.921 0.404
```

Results
total moment	0.002	Bohr magnetons per cell
ΔE_f (raw)	0.119	eV/atom
mass density	7.504	g cm⁻³

Here is a relaxed structure of InCoTe2 from Alexandria. Energies are from GGA-PBE.

Cell and atoms, written as POSCAR:
```
InCoTe2
1.0
6.314 0.000 0.000
0.000 6.314 0.000
3.157 3.157 5.990
Co Te In
2 4 2
Direct
0.500 0.500 0.000
0.250 0.750 0.500
0.555 0.125 0.250
0.875 0.805 0.750
0.195 0.625 0.250
0.375 0.445 0.750
0.750 0.250 0.500
0.000 0.000 0.000
```

Results
total moment	0.000	Bohr magnetons per cell
ΔE_f (raw)	-0.052	eV/atom
mass density	5.965	g cm⁻³

Here is a relaxed structure of In2CoTe from Alexandria. Energies are from GGA-PBE.

Cell and atoms, written as POSCAR:
```
In2CoTe
1.0
-1.109 -3.244 -6.323
-2.808 -5.020 -4.318
-3.658 1.617 -1.668
In Co Te
2 1 1
Direct
0.929 0.929 0.070
0.571 0.571 0.430
0.250 0.250 0.250
0.750 0.750 0.750
```

Results
total moment	0.722	Bohr magnetons per cell
ΔE_f (raw)	0.168	eV/atom
mass density	7.534	g cm⁻³

Here is a relaxed structure of InCoTe2 from Alexandria. Energies are from GGA-PBE.

Cell and atoms, written as POSCAR:
```
InCoTe2
1.0
-3.553 1.452 -0.639
0.609 -0.198 -3.838
-2.623 -6.455 -0.084
Te In Co
2 1 1
Direct
0.000 0.000 0.968
0.500 0.500 0.391
0.500 0.500 0.805
0.000 0.000 0.336
```

Results
total moment	1.715	Bohr magnetons per cell
ΔE_f (raw)	0.096	eV/atom
mass density	6.753	g cm⁻³

Here is a relaxed structure of InCoTe2 from Alexandria. Energies are from GGA-PBE.

Cell and atoms, written as POSCAR:
```
InCoTe2
1.0
3.184 0.000 0.000
0.000 4.200 0.025
0.000 2.064 7.666
In Te Co
1 2 1
Direct
0.500 0.740 0.644
0.000 0.098 0.929
0.500 0.396 0.334
0.000 0.266 0.592
```

Results
total moment	0.170	Bohr magnetons per cell
ΔE_f (raw)	-0.007	eV/atom
mass density	6.958	g cm⁻³